Here is a relaxed V2CoMo crystal from the Alexandria database. Energies are from PBE.

Structure (POSCAR):
```
V2CoMo
1.0
6.667 0.000 0.000
0.000 6.667 0.000
3.334 3.334 2.523
V Mo Co
4 2 2
direct
0.602 0.125 0.250
0.375 0.398 0.750
0.148 0.625 0.250
0.875 0.852 0.750
0.750 0.250 0.500
0.000 0.000 0.000
0.250 0.750 0.500
0.500 0.500 0.000
```

crystal system = tetragonal
excess energy over the best structure of this formula in the dataset = 0.539 eV per atom
spin magnetization = 0.0 μB/cell
DFT formation energy = 439.0 meV/atom

***

Here is a relaxed AgSbTe2N crystal from the Alexandria database. Energies are from PBE.

Structure (POSCAR):
```
AgSbTe2N
1.0
4.875 0.000 0.000
0.000 4.875 0.000
0.000 0.000 4.703
N Sb Ag Te
1 1 1 2
direct
0.000 0.000 0.000
0.000 0.000 0.500
0.500 0.500 0.500
0.500 0.000 0.000
0.000 0.500 0.000
```

crystal system = tetragonal
excess energy over the best structure of this formula in the dataset = 0.000 eV per atom
spin magnetization = 0.0 μB/cell

***

Here is a relaxed Tm3Si5Ir6 crystal from the Alexandria database. Energies are from PBE.

Structure (POSCAR):
```
Tm3Si5Ir6
1.0
-2.207 1.245 -3.103
4.834 -5.820 -5.774
-8.169 -8.977 2.209
Ir Si Tm
12 10 6
direct
0.000 0.008 0.168
0.500 0.992 0.332
0.000 0.602 0.702
0.500 0.398 0.798
0.500 0.512 0.000
0.000 0.981 0.500
0.000 0.488 0.500
0.000 0.602 0.298
0.500 0.019 0.000
0.000 0.008 0.832
0.500 0.992 0.668
0.500 0.398 0.202
0.000 0.878 0.000
0.000 0.521 0.117
0.500 0.122 0.500
0.000 0.521 0.883
0.500 0.150 0.172
0.500 0.479 0.617
0.000 0.850 0.328
0.500 0.479 0.383
0.500 0.150 0.828
0.000 0.850 0.672
0.000 0.257 0.000
0.500 0.743 0.500
0.500 0.749 0.838
0.000 0.251 0.338
0.000 0.251 0.662
0.500 0.749 0.162
```

crystal system = orthorhombic
spin magnetization = 0.0 μB/cell
E_tot = -7.70 eV per atom

***

Here is a relaxed Pr2CdBi crystal from the Alexandria database. Energies are from PBE.

Structure (POSCAR):
```
Pr2CdBi
1.0
-2.165 1.999 -3.442
-4.447 -0.659 -0.568
-3.694 6.612 3.182
Cd Pr Bi
1 2 1
direct
0.000 0.000 0.000
0.754 0.754 0.739
0.246 0.246 0.261
0.500 0.500 0.500
```

crystal system = trigonal
excess energy over the best structure of this formula in the dataset = 0.090 eV per atom
spin magnetization = 0.0 μB/cell
DFT formation energy = -477.4 meV/atom

***

Here is a relaxed Er7Tm5 crystal from the Alexandria database. Energies are from PBE.

Structure (POSCAR):
```
Er7Tm5
1.0
3.462 0.000 0.546
1.387 8.839 2.453
-0.093 0.201 11.839
Er Tm
7 5
direct
0.361 0.028 0.250
0.972 0.306 0.750
0.667 0.667 0.000
0.639 0.972 0.750
0.333 0.333 0.000
0.500 0.500 0.500
0.028 0.694 0.250
0.000 0.000 0.000
0.306 0.639 0.750
0.694 0.361 0.250
0.167 0.167 0.500
0.833 0.833 0.500
```

crystal system = monoclinic
excess energy over the best structure of this formula in the dataset = 0.000 eV per atom
spin magnetization = 0.0 μB/cell
DFT formation energy = 6.9 meV/atom

***

Here is a relaxed PuNpCuRh crystal from the Alexandria database. Energies are from PBE.

Structure (POSCAR):
```
PuNpCuRh
1.0
-0.184 -3.144 3.310
3.619 -2.664 0.824
2.430 0.567 3.828
Np Rh Cu Pu
1 1 1 1
direct
0.000 0.000 0.000
0.250 0.250 0.250
0.500 0.500 0.500
0.750 0.750 0.750
```

crystal system = cubic
spin magnetization = 1.7 μB/cell
DFT formation energy = -161.0 meV/atom

***

Here is a relaxed Li2BiP crystal from the Alexandria database. Energies are from PBE.

Structure (POSCAR):
```
Li2BiP
1.0
3.365 2.567 2.118
-1.121 4.074 2.131
0.119 0.312 4.721
Li Bi P
2 1 1
direct
0.250 0.250 0.250
0.750 0.750 0.750
0.500 0.500 0.500
0.000 0.000 0.000
```

crystal system = cubic
excess energy over the best structure of this formula in the dataset = 0.000 eV per atom
spin magnetization = 0.0 μB/cell
DFT formation energy = -200.4 meV/atom

***

Here is a relaxed AsRh2Cl crystal from the Alexandria database. Energies are from PBE.

Structure (POSCAR):
```
AsRh2Cl
1.0
-0.525 0.861 -5.279
4.432 -1.342 2.129
0.385 -2.947 -0.414
As Rh Cl
1 2 1
direct
0.000 0.500 0.500
0.500 0.000 0.500
0.000 0.000 0.000
0.500 0.500 0.000
```

crystal system = monoclinic
excess energy over the best structure of this formula in the dataset = 0.487 eV per atom
spin magnetization = 0.0 μB/cell